A plane-wave DFT calculation with GGA-PBE was carried out for a geometry-optimized K2Rb6Ag structure.

Cell and atoms, written as CIF:
```
data_K2Rb6Ag
_chemical_formula_sum 'K2 Rb6 Ag1'
_cell_length_a 9.961
_cell_length_b 9.961
_cell_length_c 9.963
_cell_angle_alpha 59.99
_cell_angle_beta 59.99
_cell_angle_gamma 60.01
_symmetry_space_group_name_H-M 'P 1'
_symmetry_Int_Tables_number 1
loop_
_symmetry_equiv_pos_as_xyz
'x,y,z'
loop_
_atom_site_label
_atom_site_fract_x
_atom_site_fract_y
_atom_site_fract_z
Ag1 0.500 0.500 0.500
K1 0.750 0.750 0.750
K2 0.250 0.250 0.250
Rb1 0.248 0.248 0.751
Rb2 0.752 0.248 0.248
Rb3 0.248 0.752 0.752
Rb4 0.752 0.752 0.249
Rb5 0.752 0.248 0.752
Rb6 0.248 0.752 0.248
```

final energy = -1.175 eV per atom
symmetry = C2/m, No. 12



A plane-wave DFT calculation with GGA-PBE was carried out for a geometry-optimized LaIn2CoSn structure.

Cell and atoms, written as CIF:
```
data_LaIn2CoSn
_chemical_formula_sum 'La1 In2 Co1 Sn1'
_cell_length_a 5.017
_cell_length_b 5.017
_cell_length_c 5.079
_cell_angle_alpha 90.00
_cell_angle_beta 90.00
_cell_angle_gamma 90.00
_symmetry_space_group_name_H-M 'P 1'
_symmetry_Int_Tables_number 1
loop_
_symmetry_equiv_pos_as_xyz
'x,y,z'
loop_
_atom_site_label
_atom_site_fract_x
_atom_site_fract_y
_atom_site_fract_z
In1 0.000 0.500 0.000
In2 0.500 0.000 0.000
Sn1 0.500 0.500 0.500
La1 0.000 0.000 0.500
Co1 0.000 0.000 0.000
```

final energy = -4.590 eV per atom
symmetry = P4/mmm, No. 123



A plane-wave DFT calculation with GGA-PBE was carried out for a geometry-optimized InSb12Ir4 structure.

Cell and atoms, written as CIF:
```
data_InSb12Ir4
_chemical_formula_sum 'In1 Sb12 Ir4'
_cell_length_a 8.178
_cell_length_b 8.178
_cell_length_c 8.178
_cell_angle_alpha 109.47
_cell_angle_beta 109.47
_cell_angle_gamma 109.47
_symmetry_space_group_name_H-M 'P 1'
_symmetry_Int_Tables_number 1
loop_
_symmetry_equiv_pos_as_xyz
'x,y,z'
loop_
_atom_site_label
_atom_site_fract_x
_atom_site_fract_y
_atom_site_fract_z
Ir1 0.000 0.000 0.500
Ir2 0.500 0.500 0.500
Ir3 0.000 0.500 0.000
Ir4 0.500 0.000 0.000
Sb1 0.154 0.661 0.815
Sb2 0.661 0.815 0.154
Sb3 0.493 0.154 0.339
Sb4 0.846 0.339 0.185
Sb5 0.815 0.154 0.661
Sb6 0.339 0.185 0.846
Sb7 0.661 0.507 0.846
Sb8 0.185 0.846 0.339
Sb9 0.507 0.846 0.661
Sb10 0.154 0.339 0.493
Sb11 0.339 0.493 0.154
Sb12 0.846 0.661 0.507
In1 0.000 0.000 0.000
```

formation energy without anion corrections = -0.292 eV/atom
symmetry = Im-3, No. 204



A plane-wave DFT calculation with GGA-PBE was carried out for a geometry-optimized Zn2CrTe structure.

Cell and atoms, written as CIF:
```
data_Zn2CrTe
_chemical_formula_sum 'Zn2 Cr1 Te1'
_cell_length_a 3.688
_cell_length_b 3.687
_cell_length_c 5.424
_cell_angle_alpha 90.00
_cell_angle_beta 90.00
_cell_angle_gamma 90.00
_symmetry_space_group_name_H-M 'P 1'
_symmetry_Int_Tables_number 1
loop_
_symmetry_equiv_pos_as_xyz
'x,y,z'
loop_
_atom_site_label
_atom_site_fract_x
_atom_site_fract_y
_atom_site_fract_z
Zn1 0.000 0.000 0.020
Zn2 0.000 0.000 0.480
Cr1 0.500 0.500 0.250
Te1 0.500 0.500 0.750
```

formation energy without anion corrections = 0.261 eV/atom
symmetry = P4/mmm, No. 123



A plane-wave DFT calculation with GGA-PBE was carried out for a geometry-optimized Pm2Y3Cd2 structure.

Cell and atoms, written as CIF:
```
data_Pm2Y3Cd2
_chemical_formula_sum 'Pm2 Y3 Cd2'
_cell_length_a 5.464
_cell_length_b 5.466
_cell_length_c 8.645
_cell_angle_alpha 108.41
_cell_angle_beta 90.01
_cell_angle_gamma 119.98
_symmetry_space_group_name_H-M 'P 1'
_symmetry_Int_Tables_number 1
loop_
_symmetry_equiv_pos_as_xyz
'x,y,z'
loop_
_atom_site_label
_atom_site_fract_x
_atom_site_fract_y
_atom_site_fract_z
Cd1 0.787 0.573 0.860
Cd2 0.213 0.427 0.140
Pm1 0.075 0.150 0.726
Pm2 0.925 0.850 0.274
Y1 0.344 0.688 0.532
Y2 0.500 0.000 0.000
Y3 0.656 0.312 0.468
```

final energy = -4.540 eV per atom
symmetry = R-3m, No. 166



A plane-wave DFT calculation with GGA-PBE was carried out for a geometry-optimized CuNiW2N structure.

Cell and atoms, written as CIF:
```
data_CuNiW2N
_chemical_formula_sum 'Cu1 Ni1 W2 N1'
_cell_length_a 4.073
_cell_length_b 3.781
_cell_length_c 4.073
_cell_angle_alpha 90.00
_cell_angle_beta 90.00
_cell_angle_gamma 90.00
_symmetry_space_group_name_H-M 'P 1'
_symmetry_Int_Tables_number 1
loop_
_symmetry_equiv_pos_as_xyz
'x,y,z'
loop_
_atom_site_label
_atom_site_fract_x
_atom_site_fract_y
_atom_site_fract_z
Cu1 0.500 0.500 0.500
W1 0.000 0.000 0.500
W2 0.500 0.000 0.000
N1 0.000 0.000 0.000
Ni1 0.000 0.500 0.000
```

formation energy without anion corrections = 0.115 eV/atom
symmetry = P4/mmm, No. 123



N(E_F) for the records above, in order: 0.76, 0.78, 0.30, 0.66, 1.36, 0.82 states/eV/atom
Magnetization for the records above, in order: 0.0, 0.0, 0.0, 3.5, 0.0, 0.0 μB per cell